<a>
An optimized crystal structure of GaSbAs. Source: Alexandria, functional PBE-GGA.

Cell lengths 4.067, 5.744, 8.298 Å; angles 108.95, 91.29, 90.14 degrees
Element x y z (fractional)
1 Ga 0.905 0.318 0.517
2 Ga 0.396 0.818 0.323
3 Sb 0.882 0.218 0.010
4 Sb 0.381 0.865 0.009
5 As 0.896 0.561 0.324
6 As 0.409 0.154 0.607

Summary:
volume = 30.55 Å³ per atom
density = 4.83 Mg/m³
space-group type = P1, No. 1

=====

<b>
An optimized crystal structure of GaSbAs. Source: Alexandria, functional PBE-GGA.

Cell lengths 4.299, 5.486, 12.619 Å; angles 90.00, 99.60, 90.00 degrees
Element x y z (fractional)
1 Ga 0.068 0.000 0.485
2 Ga 0.068 0.500 0.985
3 Ga 0.749 0.000 0.179
4 Ga 0.749 0.500 0.679
5 Sb 0.197 0.000 0.038
6 Sb 0.197 0.500 0.538
7 Sb 0.432 0.000 0.826
8 Sb 0.432 0.500 0.326
9 As 0.887 0.000 0.684
10 As 0.887 0.500 0.184
11 As 0.536 0.000 0.360
12 As 0.536 0.500 0.860

Summary:
volume = 24.45 Å³ per atom
density = 6.03 Mg/m³
space-group type = Cm, No. 8

=====

It is <a> that is the most stable of them.

=====

<a>
An optimized crystal structure of GaSbAs. Source: Alexandria, functional PBE-GGA.

Cell lengths 4.664, 7.340, 9.694 Å; angles 90.00, 107.34, 90.00 degrees
Element x y z (fractional)
1 Ga 0.115 0.222 0.305
2 Ga 0.115 0.778 0.305
3 Ga 0.115 0.722 0.805
4 Ga 0.115 0.278 0.805
5 Sb 0.688 0.000 0.139
6 Sb 0.688 0.500 0.639
7 Sb 0.372 0.000 0.694
8 Sb 0.372 0.500 0.194
9 As 0.505 0.000 0.445
10 As 0.505 0.500 0.945
11 As 0.903 0.000 0.905
12 As 0.903 0.500 0.405

Summary:
volume = 26.40 Å³ per atom
density = 5.59 Mg/m³
space-group type = Cm, No. 8

=====

<b>
An optimized crystal structure of GaSbAs. Source: Alexandria, functional PBE-GGA.

Cell lengths 4.119, 6.653, 7.230 Å; angles 116.68, 105.63, 92.62 degrees
Element x y z (fractional)
1 Ga 0.854 0.028 0.366
2 Ga 0.452 0.626 0.563
3 Sb 0.808 0.984 0.966
4 Sb 0.399 0.315 0.964
5 As 0.855 0.650 0.365
6 As 0.460 0.251 0.566

Summary:
volume = 27.87 Å³ per atom
density = 5.29 Mg/m³
space-group type = P1, No. 1

=====

<c>
An optimized crystal structure of GaSbAs. Source: Alexandria, functional PBE-GGA.

Cell lengths 4.074, 6.067, 6.543 Å; angles 97.38, 94.53, 109.17 degrees
Element x y z (fractional)
1 Ga 0.032 0.494 0.339
2 Ga 0.711 0.870 0.648
3 Sb 0.592 0.824 0.221
4 Sb 0.354 0.210 0.788
5 As 0.138 0.587 0.734
6 As 0.410 0.224 0.205

Summary:
volume = 25.04 Å³ per atom
density = 5.89 Mg/m³
space-group type = P1, No. 1

=====

<d>
An optimized crystal structure of GaSbAs. Source: Alexandria, functional PBE-GGA.

Cell lengths 4.195, 6.125, 6.930 Å; angles 77.81, 89.95, 70.51 degrees
Element x y z (fractional)
1 Ga 0.265 0.394 0.693
2 Ga 0.715 0.369 0.183
3 Sb 0.139 0.981 0.813
4 Sb 0.243 0.952 0.230
5 As 0.153 0.526 0.325
6 As 0.658 0.568 0.822

Summary:
volume = 27.27 Å³ per atom
density = 5.41 Mg/m³
space-group type = P1, No. 1

=====

It is <b> that is the most stable of them.

=====

<a>
An optimized crystal structure of Ga2SbAs2. Source: Alexandria, functional PBE-GGA.

Cell lengths 7.753, 7.753, 3.581 Å; angles 90.00, 90.00, 90.00 degrees
Element x y z (fractional)
1 Sb 0.000 0.000 0.000
2 Sb 0.500 0.500 0.000
3 As 0.339 0.839 0.000
4 As 0.839 0.661 0.000
5 As 0.661 0.161 0.000
6 As 0.161 0.339 0.000
7 Ga 0.140 0.640 0.500
8 Ga 0.640 0.860 0.500
9 Ga 0.860 0.360 0.500
10 Ga 0.360 0.140 0.500

Summary:
volume = 21.52 Å³ per atom
density = 6.34 Mg/m³
space-group type = P4/mbm, No. 127

=====

<b>
An optimized crystal structure of Ga2SbAs2. Source: Alexandria, functional PBE-GGA.

Cell lengths 3.785, 3.785, 8.219 Å; angles 76.69, 76.69, 90.00 degrees
Element x y z (fractional)
1 Sb 0.000 0.000 0.000
2 As 0.750 0.250 0.500
3 As 0.250 0.750 0.500
4 Ga 0.398 0.398 0.204
5 Ga 0.602 0.602 0.796

Summary:
volume = 22.27 Å³ per atom
density = 6.13 Mg/m³
space-group type = I4/mmm, No. 139

=====

It is <a> that is the most stable of them.